# 1
The following is a GGA-PBE calculation of a relaxed Ho6Mn2Tl crystal, from the Alexandria database.

Its energy relative to the elements is -64 meV/atom.

a b c (Å): 9.514 9.665 9.940
angles (deg): 90.00 90.00 90.00
Space group Immm (No. 71)
One atom of each set of equivalent atoms:
Ho: 0.000 0.219 0.230 (multiplicity 8)
Ho: 0.207 0.500 0.188 (multiplicity 8)
Ho: 0.212 0.309 0.500 (multiplicity 8)
Mn: 0.000 0.388 0.000 (multiplicity 4)
Mn: 0.000 0.500 0.395 (multiplicity 4)
Tl: 0.000 0.000 0.000 (multiplicity 2)
Tl: 0.000 0.000 0.500 (multiplicity 2)



# 2
The following is a GGA-PBE calculation of a relaxed La2TbTc crystal, from the Alexandria database.

The calculation puts the excess energy over the best structure of this formula in the dataset at 0.000 eV/atom. Its energy relative to the elements is -38 meV/atom.

a b c (Å): 7.422 9.728 6.560
angles (deg): 90.00 90.00 90.00
Space group Pnma (No. 62)
One atom of each set of equivalent atoms:
La: 0.176 0.067 0.167 (multiplicity 8)
Tb: 0.057 0.250 0.642 (multiplicity 4)
Tc: 0.090 0.750 0.956 (multiplicity 4)



# 3
The following is a GGA-PBE calculation of a relaxed NaTbPmCd crystal, from the Alexandria database.

Its energy relative to the elements is 25 meV/atom.

a b c (Å): 7.729 7.729 7.729
angles (deg): 90.00 90.00 90.00
Space group F-43m (No. 216)
One atom of each set of equivalent atoms:
Na: 0.000 0.000 0.000 (multiplicity 4)
Tb: 0.250 0.250 0.250 (multiplicity 4)
Pm: 0.250 0.250 0.750 (multiplicity 4)
Cd: 0.000 0.000 0.500 (multiplicity 4)



# 4
The following is a GGA-PBE calculation of a relaxed DyYNi crystal, from the Alexandria database.

The calculation puts the excess energy over the best structure of this formula in the dataset at 0.011 eV/atom. Its energy relative to the elements is -288 meV/atom.

a b c (Å): 13.767 3.869 5.685
angles (deg): 90.00 100.45 90.00
Space group C2/m (No. 12)
One atom of each set of equivalent atoms:
Dy: 0.156 0.000 0.317 (multiplicity 4)
Y: 0.081 0.500 0.783 (multiplicity 4)
Ni: 0.232 0.000 0.864 (multiplicity 4)



# 5
The following is a GGA-PBE calculation of a relaxed LiSi2P crystal, from the Alexandria database.

Its total energy is -4.553 eV/atom.

a b c (Å): 2.637 4.049 5.528
angles (deg): 90.00 90.00 90.00
Space group Pmm2 (No. 25)
One atom of each set of equivalent atoms:
Li: 0.000 0.000 0.000 (multiplicity 1)
Si: 0.500 0.000 0.529 (multiplicity 1)
Si: 0.500 0.500 0.267 (multiplicity 1)
P: 0.500 0.500 0.844 (multiplicity 1)



# 6
The following is a GGA-PBE calculation of a relaxed CeTmCu4 crystal, from the Alexandria database.

The calculation puts the excess energy over the best structure of this formula in the dataset at 0.089 eV/atom. Its energy relative to the elements is -125 meV/atom.

a b c (Å): 7.423 7.423 7.423
angles (deg): 90.00 90.00 90.00
Space group F-43m (No. 216)
One atom of each set of equivalent atoms:
Ce: 0.000 0.000 0.000 (multiplicity 4)
Tm: 0.250 0.250 0.750 (multiplicity 4)
Cu: 0.124 0.124 0.376 (multiplicity 16)



Q: Number 1 is which compound?
A: Ho6Mn2Tl